# 1
PBE PmPrPu, relaxed; space-group type = No. 216; total DFT energy (no corrections) = -6.280 eV/atom; E above lowest polymorph = 0 meV per atom; energy of formation from the pure elements = 1.60 eV/atom
1.0
7.4505 0.0000 0.0000
0.0000 7.4505 0.0000
0.0000 0.0000 7.4505
Pm Pr Pu
4 4 4
direct
0.0000 0.0000 0.0000
0.0000 0.5000 0.5000
0.5000 0.0000 0.5000
0.5000 0.5000 0.0000
0.0000 0.0000 0.5000
0.0000 0.5000 0.0000
0.5000 0.0000 0.0000
0.5000 0.5000 0.5000
0.2500 0.2500 0.7500
0.2500 0.7500 0.2500
0.7500 0.2500 0.2500
0.7500 0.7500 0.7500

# 2
PBE PmPrS3, relaxed; space-group type = No. 156; total DFT energy (no corrections) = -6.368 eV/atom
1.0
4.5299 0.0000 0.0000
-2.2650 3.9230 0.0000
0.0000 0.0000 7.2286
Pm Pr S
1 1 3
direct
0.0000 0.0000 0.0000
0.3333 0.6667 0.4788
0.0000 0.0000 0.6038
0.3333 0.6667 0.8879
0.6667 0.3333 0.2394

# 3
PBE PmPrSb, relaxed; space-group type = No. 216; total DFT energy (no corrections) = -5.205 eV/atom
1.0
7.4162 0.0000 0.0000
0.0000 7.4162 0.0000
0.0000 0.0000 7.4162
Pm Pr Sb
4 4 4
direct
0.0000 0.0000 0.0000
0.0000 0.5000 0.5000
0.5000 0.0000 0.5000
0.5000 0.5000 0.0000
0.0000 0.0000 0.5000
0.0000 0.5000 0.0000
0.5000 0.0000 0.0000
0.5000 0.5000 0.5000
0.2500 0.2500 0.7500
0.2500 0.7500 0.2500
0.7500 0.2500 0.2500
0.7500 0.7500 0.7500

# 4
PBE Pm4PrSb5, relaxed; space-group type = No. 139; total DFT energy (no corrections) = -5.627 eV/atom
1.0
-2.2513 2.2513 15.9156
2.2513 -2.2513 15.9156
2.2513 2.2513 -15.9156
Pm Pr Sb
4 1 5
direct
0.1003 0.1003 0.0000
0.2997 0.2997 0.0000
0.7003 0.7003 0.0000
0.8997 0.8997 0.0000
0.5000 0.5000 0.0000
0.0000 0.0000 0.0000
0.2000 0.2000 0.0000
0.3992 0.3992 0.0000
0.6008 0.6008 0.0000
0.8000 0.8000 0.0000

# 5
PBE PmPr4Sb5, relaxed; space-group type = No. 139; total DFT energy (no corrections) = -5.639 eV/atom
1.0
-2.2710 2.2710 16.0647
2.2710 -2.2710 16.0647
2.2710 2.2710 -16.0647
Pm Pr Sb
1 4 5
direct
0.0000 0.0000 0.0000
0.1997 0.1997 0.0000
0.4003 0.4003 0.0000
0.5997 0.5997 0.0000
0.8003 0.8003 0.0000
0.0992 0.0992 0.0000
0.3000 0.3000 0.0000
0.5000 0.5000 0.0000
0.7000 0.7000 0.0000
0.9008 0.9008 0.0000

# 6
PBE PmPrSc, relaxed; space-group type = No. 216; total DFT energy (no corrections) = -4.638 eV/atom; E above lowest polymorph = 0 meV per atom; energy of formation from the pure elements = 0.65 eV/atom
1.0
7.5673 0.0000 0.0000
0.0000 7.5673 0.0000
0.0000 0.0000 7.5673
Pm Pr Sc
4 4 4
direct
0.0000 0.0000 0.0000
0.0000 0.5000 0.5000
0.5000 0.0000 0.5000
0.5000 0.5000 0.0000
0.0000 0.0000 0.5000
0.0000 0.5000 0.0000
0.5000 0.0000 0.0000
0.5000 0.5000 0.5000
0.2500 0.2500 0.2500
0.2500 0.7500 0.7500
0.7500 0.2500 0.7500
0.7500 0.7500 0.2500

# 7
PBE PmPrSe2, relaxed; space-group type = No. 123; total DFT energy (no corrections) = -5.961 eV/atom
1.0
4.2234 0.0000 0.0000
0.0000 4.2234 0.0000
0.0000 0.0000 5.9762
Pm Pr Se
1 1 2
direct
0.0000 0.0000 0.0000
0.5000 0.5000 0.5000
0.0000 0.0000 0.5000
0.5000 0.5000 0.0000

# 8
PBE PmPr2Sn, relaxed; space-group type = No. 123; total DFT energy (no corrections) = -5.024 eV/atom
1.0
4.9681 0.0000 0.0000
0.0000 4.9681 0.0000
0.0000 0.0000 4.9728
Pm Pr Sn
1 2 1
direct
0.0000 0.0000 0.0000
0.0000 0.5000 0.5000
0.5000 0.0000 0.5000
0.5000 0.5000 0.0000

# 9
PBE Pm2PrSn, relaxed; space-group type = No. 123; total DFT energy (no corrections) = -5.016 eV/atom
1.0
4.9444 0.0000 0.0000
0.0000 4.9444 0.0000
0.0000 0.0000 4.9346
Pm Pr Sn
2 1 1
direct
0.0000 0.5000 0.0000
0.5000 0.0000 0.0000
0.0000 0.0000 0.5000
0.5000 0.5000 0.5000

# 10
PBE SrPmPr, relaxed; space-group type = No. 216; total DFT energy (no corrections) = -2.962 eV/atom; E above lowest polymorph = 0 meV per atom
1.0
8.2673 0.0000 0.0000
0.0000 8.2673 0.0000
0.0000 0.0000 8.2673
Sr Pm Pr
4 4 4
direct
0.0000 0.0000 0.0000
0.0000 0.5000 0.5000
0.5000 0.0000 0.5000
0.5000 0.5000 0.0000
0.2500 0.2500 0.7500
0.2500 0.7500 0.2500
0.7500 0.2500 0.2500
0.7500 0.7500 0.7500
0.0000 0.0000 0.5000
0.0000 0.5000 0.0000
0.5000 0.0000 0.0000
0.5000 0.5000 0.5000

# 11
PBE TbPmPr, relaxed; space-group type = No. 123; total DFT energy (no corrections) = -3.932 eV/atom; E above lowest polymorph = 64 meV per atom; energy of formation from the pure elements = 0.78 eV/atom
1.0
4.4025 0.0000 0.0000
0.0000 4.4025 0.0000
0.0000 0.0000 5.9951
Tb Pm Pr
1 1 1
direct
0.0000 0.0000 0.0000
0.0000 0.0000 0.5000
0.5000 0.5000 0.5000

# 12
PBE TbPmPr, relaxed; space-group type = No. 216; total DFT energy (no corrections) = -3.996 eV/atom; E above lowest polymorph = 0 meV per atom; energy of formation from the pure elements = 0.72 eV/atom
1.0
7.8163 0.0000 0.0000
0.0000 7.8163 0.0000
0.0000 0.0000 7.8163
Tb Pm Pr
4 4 4
direct
0.0000 0.0000 0.0000
0.0000 0.5000 0.5000
0.5000 0.0000 0.5000
0.5000 0.5000 0.0000
0.2500 0.2500 0.7500
0.2500 0.7500 0.2500
0.7500 0.2500 0.2500
0.7500 0.7500 0.7500
0.0000 0.0000 0.5000
0.0000 0.5000 0.0000
0.5000 0.0000 0.0000
0.5000 0.5000 0.5000